# Tl3Cd5 (GGA-PBE, relaxed)
data_Tl3Cd5
_chemical_formula_sum 'Tl12 Cd20'
_space_group_name_H-M_alt 'C 1 2/m 1'
_space_group_IT_number 12
_space_group_name_Hall '-C 2y'
_cell_length_a 5.822
_cell_length_b 18.561
_cell_length_c 8.525
_cell_angle_alpha 90.00
_cell_angle_beta 108.04
_cell_angle_gamma 90.00
loop_
_atom_site_label
_atom_site_type_symbol
_atom_site_fract_x
_atom_site_fract_y
_atom_site_fract_z
_atom_site_occupancy
Tl1 Tl 0.000 0.201 0.000 1
Tl2 Tl 0.000 0.214 0.500 1
Tl3 Tl 0.191 0.500 0.383 1
Cd1 Cd 0.078 0.353 0.193 1
Cd2 Cd 0.139 0.089 0.283 1
Cd3 Cd 0.249 0.500 0.001 1
# Density of states at the Fermi level ... 13.1 states/eV/cell
# Energy of formation ... 1.74 kcal/mol of atoms

=====

# Ti3VZn (GGA-PBE, relaxed)
data_Ti3VZn
_chemical_formula_sum 'Ti6 V2 Zn2'
_space_group_name_H-M_alt 'P -1'
_space_group_IT_number 2
_space_group_name_Hall '-P 1'
_cell_length_a 2.820
_cell_length_b 6.668
_cell_length_c 8.921
_cell_angle_alpha 106.53
_cell_angle_beta 94.78
_cell_angle_gamma 96.31
loop_
_atom_site_label
_atom_site_type_symbol
_atom_site_fract_x
_atom_site_fract_y
_atom_site_fract_z
_atom_site_occupancy
Ti1 Ti 0.001 0.016 0.256 1
Ti2 Ti 0.149 0.593 0.166 1
Ti3 Ti 0.307 0.594 0.636 1
V1 V 0.419 0.182 0.557 1
Zn1 Zn 0.495 0.206 0.042 1
# Density of states at the Fermi level ... 13.3 states/eV/cell
# Energy of formation ... -0.22 kcal/mol of atoms

=====

# NaMgNb (GGA-PBE, relaxed)
data_NaMgNb
_chemical_formula_sum 'Na4 Mg4 Nb4'
_space_group_name_H-M_alt 'F -4 3 m'
_space_group_IT_number 216
_space_group_name_Hall 'F -4 2 3'
_cell_length_a 6.772
_cell_length_b 6.772
_cell_length_c 6.772
_cell_angle_alpha 90.00
_cell_angle_beta 90.00
_cell_angle_gamma 90.00
loop_
_atom_site_label
_atom_site_type_symbol
_atom_site_fract_x
_atom_site_fract_y
_atom_site_fract_z
_atom_site_occupancy
Na1 Na 0.000 0.000 0.000 1
Mg1 Mg 0.250 0.250 0.250 1
Nb1 Nb 0.000 0.000 0.500 1
# Density of states at the Fermi level ... 16.8 states/eV/cell
# Energy of formation ... 34.28 kcal/mol of atoms

=====

Energy above the lowest structure with this stoichiometry, record by record: 0.047 0.000 1.309 eV/atom
Uncorrected energy, record by record: -1.38 -6.83 -2.84 eV/atom